Density functional theory data (PBE-GGA) for VW3Cl after structural relaxation.

For the magnetization, the calculation gives 2.06 μB per cell. The uncorrected formation energy is 1554 meV per atom. Its space group is Pm-3m, No. 221. For the energy above the most stable polymorph in this dataset, the calculation gives 0.0 meV per atom. As for the total energy: -8.4113 eV/atom.

abc: 4.394 4.394 4.394
angles: 90.00 90.00 90.00
Atoms (fractional coordinates):
V (0.000, 0.000, 0.000)
W (0.000, 0.500, 0.500)
W (0.500, 0.000, 0.500)
W (0.500, 0.500, 0.000)
Cl (0.500, 0.500, 0.500)

Density functional theory data (PBE-GGA) for Tl3CdS after structural relaxation.

For the magnetization, the calculation gives 0.00 μB per cell. The uncorrected formation energy is 318 meV per atom. Its space group is Pm-3m, No. 221. For the energy above the most stable polymorph in this dataset, the calculation gives 161.3 meV per atom. As for the total energy: -2.1102 eV/atom.

abc: 5.575 5.575 5.575
angles: 90.00 90.00 90.00
Atoms (fractional coordinates):
Tl (0.000, 0.000, 0.500)
Tl (0.000, 0.500, 0.000)
Tl (0.500, 0.000, 0.000)
Cd (0.000, 0.000, 0.000)
S (0.500, 0.500, 0.500)

Density functional theory data (PBE-GGA) for KCdIn after structural relaxation.

For the magnetization, the calculation gives 0.00 μB per cell. Its space group is P-1, No. 2. For the energy above the most stable polymorph in this dataset, the calculation gives 41.8 meV per atom. As for the total energy: -1.6664 eV/atom. For the formation energy, the calculation gives -83 meV per atom.

abc: 4.947 6.873 7.546
angles: 115.47 90.06 111.07
Atoms (fractional coordinates):
K (0.094, 0.188, 0.299)
K (0.906, 0.812, 0.701)
Cd (0.394, 0.786, 0.316)
Cd (0.606, 0.214, 0.684)
In (0.249, 0.497, 0.871)
In (0.751, 0.503, 0.129)

Density functional theory data (PBE-GGA) for Mg2TeOs after structural relaxation.

For the magnetization, the calculation gives 0.00 μB per cell. The uncorrected formation energy is 192 meV per atom. Its space group is P4mm, No. 99. As for the total energy: -4.1983 eV/atom.

abc: 3.174 3.174 8.497
angles: 90.00 90.00 90.00
Atoms (fractional coordinates):
Mg (0.000, 0.000, 0.000)
Mg (0.500, 0.500, 0.272)
Te (0.500, 0.500, 0.661)
Os (0.000, 0.000, 0.483)

Density functional theory data (PBE-GGA) for PbSeN2O after structural relaxation.

For the magnetization, the calculation gives 3.27 μB per cell. The uncorrected formation energy is 2243 meV per atom. Its space group is P4/mmm, No. 123. As for the total energy: -3.5174 eV/atom.

abc: 4.447 4.447 5.800
angles: 90.00 90.00 90.00
Atoms (fractional coordinates):
Pb (0.000, 0.000, 0.000)
Se (0.000, 0.000, 0.500)
N (0.000, 0.500, 0.000)
N (0.500, 0.000, 0.000)
O (0.500, 0.500, 0.500)

Density functional theory data (PBE-GGA) for La2Tm3Pb4 after structural relaxation.

For the magnetization, the calculation gives 0.00 μB per cell. Its space group is Cmce, No. 64. For the energy above the most stable polymorph in this dataset, the calculation gives 107.6 meV per atom. As for the total energy: -4.7246 eV/atom. For the formation energy, the calculation gives -491 meV per atom.

abc: 9.420 9.420 9.014
angles: 90.00 90.00 135.41
Atoms (fractional coordinates):
La (0.111, 0.889, 0.912)
La (0.389, 0.611, 0.412)
La (0.611, 0.389, 0.588)
La (0.889, 0.111, 0.088)
Tm (0.000, 0.000, 0.500)
Tm (0.042, 0.458, 0.750)
Tm (0.458, 0.042, 0.250)
Tm (0.500, 0.500, 0.000)
Tm (0.542, 0.958, 0.750)
Tm (0.958, 0.542, 0.250)
Pb (0.186, 0.814, 0.554)
Pb (0.216, 0.284, 0.750)
Pb (0.284, 0.216, 0.250)
Pb (0.314, 0.686, 0.054)
Pb (0.686, 0.314, 0.946)
Pb (0.716, 0.784, 0.750)
Pb (0.784, 0.716, 0.250)
Pb (0.814, 0.186, 0.446)

Density functional theory data (PBE-GGA) for CsPmSnTe3 after structural relaxation.

For the magnetization, the calculation gives 0.00 μB per cell. The uncorrected formation energy is -1034 meV per atom. Its space group is P2_1/m, No. 11. As for the total energy: -4.2058 eV/atom.

abc: 9.943 4.523 12.393
angles: 90.00 110.64 90.00
Atoms (fractional coordinates):
Cs (0.230, 0.250, 0.274)
Cs (0.770, 0.750, 0.726)
Pm (0.365, 0.750, 0.846)
Pm (0.635, 0.250, 0.154)
Sn (0.127, 0.250, 0.559)
Sn (0.873, 0.750, 0.441)
Te (0.120, 0.250, 0.789)
Te (0.335, 0.750, 0.579)
Te (0.402, 0.750, 0.107)
Te (0.598, 0.250, 0.893)
Te (0.665, 0.250, 0.421)
Te (0.880, 0.750, 0.211)

Density functional theory data (PBE-GGA) for BeAu2Br after structural relaxation.

For the magnetization, the calculation gives 0.00 μB per cell. The uncorrected formation energy is 127 meV per atom. Its space group is Immm, No. 71. For the energy above the most stable polymorph in this dataset, the calculation gives 242.2 meV per atom. As for the total energy: -2.8619 eV/atom.

abc: 5.768 5.768 5.768
angles: 151.50 110.26 76.99
Atoms (fractional coordinates):
Be (0.000, 0.000, 0.000)
Au (0.202, 0.702, 0.500)
Au (0.798, 0.298, 0.500)
Br (0.500, 0.500, 0.000)

Density functional theory data (PBE-GGA) for Sr4CaFe after structural relaxation.

For the magnetization, the calculation gives 3.32 μB per cell. Its space group is F-43m, No. 216. As for the total energy: -2.0852 eV/atom. For the formation energy, the calculation gives 780 meV per atom.

abc: 7.399 7.399 7.399
angles: 60.00 60.00 60.00
Atoms (fractional coordinates):
Sr (0.125, 0.125, 0.125)
Sr (0.125, 0.125, 0.624)
Sr (0.125, 0.624, 0.125)
Sr (0.624, 0.125, 0.125)
Ca (0.750, 0.750, 0.750)
Fe (0.500, 0.500, 0.500)

Density functional theory data (PBE-GGA) for Mn2CdHSe after structural relaxation.

For the magnetization, the calculation gives 7.30 μB per cell. Its space group is P4/mmm, No. 123. As for the total energy: -4.9209 eV/atom.

abc: 3.921 3.921 4.951
angles: 90.00 90.00 90.00
Atoms (fractional coordinates):
Mn (0.000, 0.500, 0.000)
Mn (0.500, 0.000, 0.000)
Cd (0.000, 0.000, 0.500)
H (0.500, 0.500, 0.000)
Se (0.500, 0.500, 0.500)

Density functional theory data (PBE-GGA) for CaLa2Bi after structural relaxation.

For the magnetization, the calculation gives 1.24 μB per cell. Its space group is R3m, No. 160. As for the total energy: -4.2316 eV/atom. For the formation energy, the calculation gives -297 meV per atom.

abc: 10.522 10.522 10.522
angles: 23.86 23.86 23.86
Atoms (fractional coordinates):
Ca (0.000, 0.000, 0.000)
La (0.566, 0.566, 0.566)
La (0.767, 0.767, 0.767)
Bi (0.166, 0.166, 0.166)

Density functional theory data (PBE-GGA) for Pr12Co6Pb after structural relaxation.

For the magnetization, the calculation gives 0.00 μB per cell. Its space group is Im-3, No. 204. As for the total energy: -5.5927 eV/atom. For the formation energy, the calculation gives -135 meV per atom.

abc: 8.765 8.765 8.765
angles: 109.47 109.47 109.47
Atoms (fractional coordinates):
Pr (0.115, 0.807, 0.307)
Pr (0.193, 0.307, 0.500)
Pr (0.193, 0.693, 0.885)
Pr (0.307, 0.115, 0.807)
Pr (0.307, 0.500, 0.193)
Pr (0.500, 0.193, 0.307)
Pr (0.500, 0.807, 0.693)
Pr (0.693, 0.500, 0.807)
Pr (0.693, 0.885, 0.193)
Pr (0.807, 0.307, 0.115)
Pr (0.807, 0.693, 0.500)
Pr (0.885, 0.193, 0.693)
Co (0.110, 0.610, 0.500)
Co (0.390, 0.500, 0.890)
Co (0.500, 0.110, 0.610)
Co (0.500, 0.890, 0.390)
Co (0.610, 0.500, 0.110)
Co (0.890, 0.390, 0.500)
Pb (0.000, 0.000, 0.000)